(1)
ZrScPa | OQMD | PBE | optimized geometry; crystal system = cubic
1.0
1.981 -4.264 1.169
2.136 -0.578 4.310
-2.072 -2.790 3.376
Pa Sc Zr
1 1 1
Direct
0.250 0.250 0.250
0.750 0.750 0.750
0.000 0.000 0.000

---

(2)
ZrScPa | OQMD | PBE | optimized geometry; crystal system = cubic
1.0
-1.988 -4.400 -1.081
-4.495 -0.246 -2.053
-0.491 -1.400 -4.720
Pa Sc Zr
1 1 1
Direct
0.000 0.000 0.000
0.250 0.250 0.250
0.750 0.750 0.750

---

Relative calculated energies, zero for the most stable structure, unit eV/atom: (1) 0.000; (2) 0.302.

---

(1)
ZrPaSn | OQMD | PBE | optimized geometry; crystal system = cubic
1.0
0.000 3.509 3.509
3.509 0.000 3.509
3.509 3.509 0.000
Sn Zr Pa
1 1 1
Direct
0.000 0.000 0.000
0.750 0.750 0.750
0.250 0.250 0.250

---

(2)
ZrPaSn | OQMD | PBE | optimized geometry; crystal system = cubic
1.0
-0.909 0.924 4.935
-4.413 2.129 1.427
-3.471 -2.767 2.517
Pa Sn Zr
1 1 1
Direct
0.000 0.000 0.000
0.250 0.250 0.250
0.750 0.750 0.750

---

Relative calculated energies, zero for the most stable structure, unit eV/atom: (1) 0.000; (2) 0.505.

---

(1)
PaTaTe | OQMD | PBE | optimized geometry; crystal system = cubic
1.0
0.000 3.483 3.483
3.483 0.000 3.483
3.483 3.483 0.000
Ta Te Pa
1 1 1
Direct
0.250 0.250 0.250
0.750 0.750 0.750
0.000 0.000 0.000

---

(2)
PaTaTe | OQMD | PBE | optimized geometry; crystal system = cubic
1.0
0.000 3.376 3.376
3.376 0.000 3.376
3.376 3.376 0.000
Pa Ta Te
1 1 1
Direct
0.750 0.750 0.750
0.000 0.000 0.000
0.250 0.250 0.250

---

Relative calculated energies, zero for the most stable structure, unit eV/atom: (1) 0.520; (2) 0.000.